Here is a relaxed Y6Tl3Ru crystal from Alexandria via LeMat-Bulk. Energies are from GGA-PBE.

POSCAR file:
```
Y6Tl3Ru
1.0
9.035 0.000 0.000
0.000 11.689 0.000
0.000 0.000 5.243
Y Tl Ru
12 6 2
direct
0.009 0.236 0.000 Y
0.154 0.083 0.500 Y
0.189 0.419 0.500 Y
0.311 0.919 0.000 Y
0.346 0.583 0.000 Y
0.491 0.736 0.500 Y
0.509 0.264 0.500 Y
0.654 0.417 0.000 Y
0.689 0.081 0.000 Y
0.811 0.581 0.500 Y
0.846 0.917 0.500 Y
0.991 0.764 0.000 Y
0.000 0.500 0.000 Tl
0.157 0.739 0.500 Tl
0.343 0.239 0.000 Tl
0.500 0.000 0.500 Tl
0.657 0.761 0.000 Tl
0.843 0.261 0.500 Tl
0.000 0.000 0.000 Ru
0.500 0.500 0.500 Ru
```

The total energy comes out at -5.813 eV/atom. Its space group is Pnnm.

Here is a relaxed LiZnSb2 crystal from Alexandria via LeMat-Bulk. Energies are from GGA-PBE.

POSCAR file:
```
LiZnSb2
1.0
6.364 -1.604 0.000
6.364 1.604 0.000
-1.327 0.000 4.552
Li Zn Sb
1 1 2
direct
0.000 0.000 0.000 Li
0.713 0.713 0.416 Zn
0.288 0.288 0.014 Sb
0.516 0.516 0.518 Sb
```

The raw formation energy is -3.17 kcal/mol of atoms. Its space group is Cm.

Here is a relaxed Li2HCN crystal from Alexandria via LeMat-Bulk. Energies are from GGA-PBE.

POSCAR file:
```
Li2HCN
1.0
3.494 0.000 0.000
0.000 3.494 0.000
0.000 0.000 2.809
Li H C N
2 1 1 1
direct
0.000 0.500 0.000 Li
0.500 0.000 0.000 Li
0.000 0.000 0.000 H
0.000 0.000 0.500 C
0.500 0.500 0.500 N
```

The total energy comes out at -4.084 eV/atom. Its space group is P4/mmm.

- Number 3 is which compound?
  Li2HCN